## Ce6Os2RhCl3 (PBE)

Data for Ce6Os2RhCl3 after structural relaxation.

- total DFT energy (no corrections) (eV/cell) = -82.20
- crystal system = monoclinic

Cell: 6.984 6.984 7.738 Å, 98.65 98.65 120.00°
Sites, in units of the cell vectors:
1 Os 0.667 0.333 0.000
2 Os 0.333 0.667 0.000
3 Cl 0.500 0.500 0.500
4 Cl 0.167 0.833 0.500
5 Cl 0.833 0.167 0.500
6 Ce 0.931 0.592 0.792
7 Ce 0.408 0.069 0.208
8 Ce 0.069 0.408 0.208
9 Ce 0.592 0.931 0.792
10 Ce 0.269 0.269 0.792
11 Ce 0.731 0.731 0.208
12 Rh 0.000 0.000 0.000



## SbAsAu (PBE)

Data for SbAsAu after structural relaxation.

- total DFT energy (no corrections) (eV/cell) = -11.69
- crystal system = cubic

Cell: 4.693 4.693 4.693 Å, 60.00 60.00 60.00°
Sites, in units of the cell vectors:
1 As 0.500 0.500 0.500
2 Sb 0.000 0.000 0.000
3 Au 0.750 0.750 0.750



## TmPuScIn (PBE)

Data for TmPuScIn after structural relaxation.

- crystal system = cubic
- formation energy from the elements (eV/atom) = -0.04

Cell: 5.293 5.293 5.293 Å, 60.00 60.00 60.00°
Sites, in units of the cell vectors:
1 Tm 0.750 0.750 0.750
2 Sc 0.000 0.000 0.000
3 Pu 0.250 0.250 0.250
4 In 0.500 0.500 0.500